# 1
VASP calculation (GGA-PBE) on a relaxed structure of Cs4Np3USe8.

Cell lengths 8.607, 9.759, 8.607 Å; angles 116.18, 120.00, 90.00 degrees
Atoms (fractional coordinates):
Se  0.731  0.686  0.958
Se  0.227  0.686  0.958
Se  0.773  0.314  0.042
Se  0.271  0.314  0.543
Se  0.729  0.686  0.457
Se  0.773  0.314  0.545
Se  0.269  0.314  0.042
Se  0.227  0.686  0.455
U  0.000  0.500  0.000
Cs  0.500  0.000  0.500
Cs  0.000  0.000  0.500
Cs  0.500  0.000  0.000
Cs  0.000  0.000  0.000
Np  0.000  0.500  0.500
Np  0.500  0.500  0.500
Np  0.500  0.500  0.000

# 2
VASP calculation (GGA-PBE) on a relaxed structure of Te2RuSe.

Cell lengths 3.974, 5.435, 5.437 Å; angles 56.75, 90.00, 90.00 degrees
Atoms (fractional coordinates):
Se  0.500  0.750  0.750
Te  0.000  0.068  0.068
Te  0.000  0.432  0.432
Ru  0.500  0.250  0.250

# 3
VASP calculation (GGA-PBE) on a relaxed structure of PuPa2P.

## Properties
Its relative energy among the computed polymorphs is 0 meV/atom. Its formation energy is -0.4841 eV/atom.

Cell lengths 4.154, 4.453, 4.453 Å; angles 90.00, 90.00, 90.00 degrees
Atoms (fractional coordinates):
Pa  0.000  0.500  0.000
Pa  0.000  0.000  0.500
P  0.500  0.000  0.000
Pu  0.500  0.500  0.500

# 4
VASP calculation (GGA-PBE) on a relaxed structure of TlAs2PbO8.

Cell lengths 5.146, 5.146, 8.206 Å; angles 71.73, 71.73, 60.00 degrees
Atoms (fractional coordinates):
Pb  0.000  0.000  0.000
O  0.675  0.675  0.975
O  0.913  0.557  0.313
O  0.783  0.443  0.687
O  0.557  0.217  0.313
O  0.325  0.325  0.025
O  0.087  0.783  0.687
O  0.217  0.913  0.313
O  0.443  0.087  0.687
Tl  0.500  0.500  0.500
As  0.750  0.750  0.749
As  0.250  0.250  0.251

# 5
VASP calculation (GGA-PBE) on a relaxed structure of Ni2Bi3Rh.

## Properties
Its formation energy is 0.0446 eV/atom.

Cell lengths 4.181, 7.280, 9.043 Å; angles 101.54, 103.37, 90.00 degrees
Atoms (fractional coordinates):
Ni  0.734  0.413  0.468
Ni  0.266  0.587  0.532
Ni  0.059  0.138  0.118
Ni  0.941  0.862  0.882
Bi  0.917  0.212  0.834
Bi  0.755  0.800  0.510
Bi  0.416  0.637  0.832
Bi  0.083  0.788  0.166
Bi  0.584  0.363  0.168
Bi  0.245  0.200  0.490
Rh  0.357  0.965  0.714
Rh  0.643  0.035  0.286

# 6
VASP calculation (GGA-PBE) on a relaxed structure of Ta6Mo.

## Properties
Its relative energy among the computed polymorphs is 30 meV/atom. Its formation energy is -0.0399 eV/atom.

Cell lengths 2.876, 7.155, 7.155 Å; angles 118.23, 97.70, 97.70 degrees
Atoms (fractional coordinates):
Ta  0.447  0.575  0.717
Ta  0.730  0.283  0.859
Ta  0.872  0.141  0.425
Ta  0.553  0.425  0.283
Ta  0.128  0.859  0.575
Ta  0.270  0.717  0.141
Mo  0.000  0.000  0.000

# 7
VASP calculation (GGA-PBE) on a relaxed structure of PmCoGe2Rh.

## Properties
Its formation energy is -0.7345 eV/atom.

Cell lengths 4.085, 4.085, 5.964 Å; angles 110.03, 110.03, 90.00 degrees
Atoms (fractional coordinates):
Pm  0.000  0.000  0.000
Ge  0.626  0.626  0.252
Ge  0.374  0.374  0.748
Rh  0.250  0.750  0.500
Co  0.750  0.250  0.500

# 8
VASP calculation (GGA-PBE) on a relaxed structure of NpTi2Co.

## Properties
Its relative energy among the computed polymorphs is 266 meV/atom. Its formation energy is 0.2510 eV/atom.

Cell lengths 2.757, 2.757, 9.679 Å; angles 81.81, 81.81, 60.00 degrees
Atoms (fractional coordinates):
Ti  0.903  0.903  0.290
Ti  0.097  0.097  0.710
Np  0.000  0.000  0.000
Co  0.500  0.500  0.500

# 9
VASP calculation (GGA-PBE) on a relaxed structure of CsCaMn2Br8.

Cell lengths 7.056, 7.056, 10.186 Å; angles 90.00, 90.00, 120.00 degrees
Atoms (fractional coordinates):
Cs  0.000  0.000  0.000
Br  0.001  0.670  0.326
Br  0.330  0.001  0.674
Br  0.670  0.670  0.674
Br  0.667  0.333  0.026
Br  0.333  0.667  0.974
Br  0.330  0.330  0.326
Br  0.999  0.330  0.674
Br  0.670  0.999  0.326
Ca  0.000  0.000  0.500
Mn  0.667  0.333  0.260
Mn  0.333  0.667  0.740

# 10
VASP calculation (GGA-PBE) on a relaxed structure of TmPuZnCd.

## Properties
Its formation energy is -0.1141 eV/atom.

Cell lengths 5.165, 5.165, 5.165 Å; angles 60.00, 60.00, 60.00 degrees
Atoms (fractional coordinates):
Tm  0.500  0.500  0.500
Zn  0.250  0.250  0.250
Cd  0.750  0.750  0.750
Pu  0.000  0.000  0.000

# 11
VASP calculation (GGA-PBE) on a relaxed structure of TmMn6Sn4Ge2.

## Properties
Its formation energy is -0.2187 eV/atom.

Cell lengths 5.333, 5.333, 8.674 Å; angles 90.00, 90.00, 120.00 degrees
Atoms (fractional coordinates):
Mn  0.500  0.500  0.768
Mn  0.500  0.000  0.232
Mn  0.000  0.500  0.232
Mn  0.000  0.500  0.768
Mn  0.500  0.000  0.768
Mn  0.500  0.500  0.232
Sn  0.000  0.000  0.667
Sn  0.667  0.333  0.500
Sn  0.333  0.667  0.500
Sn  0.000  0.000  0.333
Ge  0.333  0.667  0.000
Ge  0.667  0.333  0.000
Tm  0.000  0.000  0.000

# 12
VASP calculation (GGA-PBE) on a relaxed structure of Be2SiIr.

Cell lengths 3.976, 3.976, 3.976 Å; angles 60.00, 60.00, 60.00 degrees
Atoms (fractional coordinates):
Ir  0.500  0.500  0.500
Be  0.000  0.000  0.000
Be  0.750  0.750  0.750
Si  0.250  0.250  0.250

no.,size of the total moment (μB per cell),calculated total energy (Ha/atom)
1,15.001,-0.2321
2,0.000,-0.1747
3,4.114,-0.3736
4,1.104,-0.2020
5,0.000,-0.1855
6,0.000,-0.4317
7,0.000,-0.2360
8,1.685,-0.3200
9,9.000,-0.1498
10,6.208,-0.1971
11,12.569,-0.2476
12,0.000,-0.2079